1.
This record from the Alexandria database describes an optimized crystal structure of In2P. The functional is PBE-GGA.

For the formation energy, the calculation gives 0.03 eV/atom. As for the crystal system: monoclinic. The value obtained for the energy above the most stable polymorph in this dataset is 0.20 eV per formula unit.

It has space group C2/m (No. 12), with a = 12.3146 Å, b = 3.9262 Å, c = 8.1531 Å, α = 90.00°, β = 130.73° and γ = 90.00°. The inequivalent atoms are In at (0.1068, 0.0000, 0.3073), In at (0.2284, 0.0000, 0.7823) and P at (0.0759, 0.5000, 0.7932).

2.
This record from the Alexandria database describes an optimized crystal structure of TiCdSb3. The functional is PBE-GGA.

The calculation puts the uncorrected formation energy at 1.075 eV/atom. As for the crystal system: cubic. The value obtained for the energy above the most stable polymorph in this dataset is 4.64 eV per formula unit.

It has space group Pm-3m (No. 221), with a = 5.4102 Å, b = 5.4102 Å, c = 5.4102 Å, α = 90.00°, β = 90.00° and γ = 90.00°. The inequivalent atoms are Ti at (0.0000, 0.0000, 0.0000), Cd at (0.5000, 0.5000, 0.5000) and Sb at (0.0000, 0.5000, 0.5000).

3.
This record from the Alexandria database describes an optimized crystal structure of LaSe2Cl. The functional is PBE-GGA.

The calculation puts the uncorrected formation energy at -1.295 eV/atom. As for the crystal system: tetragonal. The value obtained for the energy above the most stable polymorph in this dataset is 0.92 eV per formula unit.

It has space group I-42d (No. 122), with a = 4.6972 Å, b = 4.6972 Å, c = 21.7390 Å, α = 90.00°, β = 90.00° and γ = 90.00°. The inequivalent atoms are La at (0.0000, 0.0000, 0.0000), Se at (0.0958, 0.2500, 0.1250) and Cl at (0.0000, 0.0000, 0.5000).

4.
This record from the Alexandria database describes an optimized crystal structure of DyTmTeSe. The functional is PBE-GGA.

The calculation puts the uncorrected formation energy at -1.510 eV/atom. As for the crystal system: trigonal.

It has space group R3m (No. 160, hexagonal axes), with a = 4.0553 Å, b = 4.0553 Å, c = 21.8541 Å, α = 90.00°, β = 90.00° and γ = 120.00°. The inequivalent atoms are Dy at (0.0000, 0.0000, 0.0000), Tm at (0.0000, 0.0000, 0.1870), Te at (0.0000, 0.0000, 0.4272) and Se at (0.0000, 0.0000, 0.5939).

5.
This record from the Alexandria database describes an optimized crystal structure of TbTiRuRh. The functional is PBE-GGA.

For the formation energy, the calculation gives -0.55 eV/atom. As for the crystal system: cubic.

It has space group F-43m (No. 216), with a = 6.5227 Å, b = 6.5227 Å, c = 6.5227 Å, α = 90.00°, β = 90.00° and γ = 90.00°. The inequivalent atoms are Tb at (0.0000, 0.0000, 0.0000), Ti at (0.0000, 0.0000, 0.5000), Ru at (0.2500, 0.2500, 0.7500) and Rh at (0.2500, 0.2500, 0.2500).

6.
This record from the Alexandria database describes an optimized crystal structure of TbPm3YEr. The functional is PBE-GGA.

For the formation energy, the calculation gives 0.02 eV/atom. As for the crystal system: monoclinic.

It has space group P2_1/m (No. 11), with a = 8.0466 Å, b = 5.1011 Å, c = 10.1670 Å, α = 90.00°, β = 108.49° and γ = 90.00°. The inequivalent atoms are Tb at (0.0013, 0.2500, 0.3740), Pm at (0.3304, 0.2500, 0.7084), Pm at (0.3310, 0.7500, 0.9581), Pm at (0.3323, 0.7500, 0.4578), Y at (0.3300, 0.2500, 0.2067) and Er at (0.9997, 0.2500, 0.8765).

7.
This record from the Alexandria database describes an optimized crystal structure of TaRuSe. The functional is PBE-GGA.

The calculation puts the uncorrected formation energy at -0.122 eV/atom. As for the crystal system: hexagonal. The value obtained for the energy above the most stable polymorph in this dataset is 0.42 eV per formula unit.

It has space group P-6m2 (No. 187), with a = 4.2638 Å, b = 4.2638 Å, c = 3.0463 Å, α = 90.00°, β = 90.00° and γ = 120.00°. The inequivalent atoms are Ta at (0.0000, 0.0000, 0.0000), Ru at (0.6667, 0.3333, 0.5000) and Se at (0.3333, 0.6667, 0.5000).

8.
This record from the Alexandria database describes an optimized crystal structure of CuAgPd. The functional is PBE-GGA.

For the formation energy, the calculation gives -0.03 eV/atom. As for the crystal system: triclinic. The value obtained for the energy above the most stable polymorph in this dataset is 0.01 eV per formula unit.

It has space group P-1 (No. 2), with a = 3.8948 Å, b = 4.8273 Å, c = 5.6414 Å, α = 71.40°, β = 89.85° and γ = 66.26°. The inequivalent atoms are Cu at (0.1596, 0.1799, 0.0785), Ag at (0.1718, 0.1564, 0.5944) and Pd at (0.4900, 0.5204, 0.2338).